A plane-wave DFT calculation with PBE was carried out for crystalline TbPm2SmTh at its relaxed geometry.

Properties
As for the total magnetization: 0.0000 μB/atom. The density of states at the Fermi level is 8.90 states/eV/f.u. For the energy, the calculation gives -5.00 eV/atom. Its space group is P2/c.

a = 8.4676 Å, b = 6.3898 Å, c = 6.6015 Å
α = 76.43°, β = 90.00°, γ = 90.00°
Element x y z (fractional)
Pm  0.6721  0.7180  0.8392
Pm  0.3279  0.7180  0.3392
Pm  0.6721  0.2820  0.6608
Pm  0.3279  0.2820  0.1608
Th  0.0000  0.0000  0.5000
Th  0.0000  0.0000  0.0000
Sm  0.9086  0.5000  0.2500
Sm  0.0914  0.5000  0.7500
Tb  0.3382  0.0000  0.7500
Tb  0.6618  0.0000  0.2500

=====

A plane-wave DFT calculation with PBE was carried out for crystalline Fe2SbRh at its relaxed geometry.

Properties
As for the total magnetization: 1.4027 μB/atom. The density of states at the Fermi level is 4.51 states/eV/f.u. As for the uncorrected formation energy: 0.131 eV per atom. For the energy, the calculation gives -6.97 eV/atom. Its space group is Cmmm.

a = 6.0720 Å, b = 4.5900 Å, c = 3.0472 Å
α = 90.07°, β = 59.75°, γ = 119.62°
Site moments in Bohr magnetons follow the coordinates.
Element x y z (fractional)
Fe  0.0000  0.0000  0.0000  2.62
Fe  0.5000  0.0000  0.5000  2.62
Sb  0.5000  0.5000  0.0000  -0.06
Rh  0.0000  0.5000  0.5000  0.49

=====

A plane-wave DFT calculation with PBE was carried out for crystalline V2FeNi at its relaxed geometry.

Properties
As for the total magnetization: 0.2773 μB/atom. The density of states at the Fermi level is 4.54 states/eV/f.u. For the energy, the calculation gives -8.18 eV/atom. Its space group is P2_1/m.

a = 2.5321 Å, b = 4.1427 Å, c = 9.2653 Å
α = 90.00°, β = 96.19°, γ = 90.00°
Site moments in Bohr magnetons follow the coordinates.
Element x y z (fractional)
Ni  0.7154  0.2500  0.9609  0.31
Ni  0.2846  0.7500  0.0391  0.31
Fe  0.7284  0.7500  0.8088  1.33
Fe  0.2716  0.2500  0.1912  1.33
V  0.3549  0.7500  0.5643  -0.15
V  0.0795  0.2500  0.7087  -0.31
V  0.9205  0.7500  0.2913  -0.31
V  0.6451  0.2500  0.4357  -0.15

=====

A plane-wave DFT calculation with PBE was carried out for crystalline V3FeRh4 at its relaxed geometry.

Properties
As for the total magnetization: 0.1873 μB/atom. The density of states at the Fermi level is 8.74 states/eV/f.u. For the energy, the calculation gives -8.47 eV/atom. Its space group is Pmma.

a = 4.5900 Å, b = 5.4643 Å, c = 8.6034 Å
α = 90.00°, β = 90.00°, γ = 90.00°
Site moments in Bohr magnetons follow the coordinates.
Element x y z (fractional)
V  0.3372  0.5000  0.2500  -0.48
V  0.3577  0.0000  0.2500  -0.32
V  0.6423  0.0000  0.7500  -0.32
V  0.6628  0.5000  0.7500  -0.48
V  0.0000  0.0000  0.0000  -0.14
V  0.0000  0.0000  0.5000  -0.14
Fe  0.0000  0.5000  0.5000  2.30
Fe  0.0000  0.5000  0.0000  2.30
Rh  0.1380  0.2533  0.7500  0.06
Rh  0.5000  0.7490  0.0000  0.07
Rh  0.5000  0.2510  0.5000  0.07
Rh  0.8620  0.7467  0.2500  0.06
Rh  0.5000  0.2510  0.0000  0.07
Rh  0.8620  0.2533  0.2500  0.06
Rh  0.1380  0.7467  0.7500  0.06
Rh  0.5000  0.7490  0.5000  0.07

=====

A plane-wave DFT calculation with PBE was carried out for crystalline Hf2H2Br at its relaxed geometry.

Properties
As for the total magnetization: 0.0000 μB/atom. As for the energy above the lowest structure with this stoichiometry: 0 meV/atom. The density of states at the Fermi level is 3.58 states/eV/f.u. For the energy, the calculation gives -5.54 eV/atom. Its space group is I4/mmm.

a = 4.1012 Å, b = 4.1012 Å, c = 5.8006 Å
α = 69.30°, β = 69.30°, γ = 90.00°
Element x y z (fractional)
H  0.3136  0.3136  0.3727
H  0.6864  0.6864  0.6273
Hf  0.2500  0.7500  0.5000
Hf  0.7500  0.2500  0.5000
Br  0.0000  0.0000  0.0000

=====

A plane-wave DFT calculation with PBE was carried out for crystalline TbSm3P4 at its relaxed geometry.

Properties
As for the total magnetization: 0.0000 μB/atom. The density of states at the Fermi level is 0.68 states/eV/f.u. For the energy, the calculation gives -6.64 eV/atom. Its space group is Pm-3m.

a = 5.7793 Å, b = 5.7793 Å, c = 5.7793 Å
α = 90.00°, β = 90.00°, γ = 90.00°
Element x y z (fractional)
Sm  0.0000  0.5000  0.5000
Sm  0.5000  0.5000  0.0000
Sm  0.5000  0.0000  0.5000
P  0.0000  0.5000  0.0000
P  0.5000  0.5000  0.5000
P  0.0000  0.0000  0.5000
P  0.5000  0.0000  0.0000
Tb  0.0000  0.0000  0.0000

=====

A plane-wave DFT calculation with PBE was carried out for crystalline MgRe3 at its relaxed geometry.

Properties
As for the total magnetization: 0.0003 μB/atom. As for the energy above the lowest structure with this stoichiometry: 150 meV/atom. The density of states at the Fermi level is 2.62 states/eV/f.u. For the energy, the calculation gives -9.41 eV/atom. Its space group is Pm-3n.

a = 4.9599 Å, b = 4.9599 Å, c = 4.9599 Å
α = 90.00°, β = 90.00°, γ = 90.00°
Element x y z (fractional)
Re  0.5000  0.0000  0.7500
Re  0.0000  0.7500  0.5000
Re  0.7500  0.5000  0.0000
Re  0.2500  0.5000  0.0000
Re  0.0000  0.2500  0.5000
Re  0.5000  0.0000  0.2500
Mg  0.0000  0.0000  0.0000
Mg  0.5000  0.5000  0.5000

=====

A plane-wave DFT calculation with PBE was carried out for crystalline HfZnIr2 at its relaxed geometry.

Properties
As for the total magnetization: 0.0000 μB/atom. The density of states at the Fermi level is 0.34 states/eV/f.u. For the energy, the calculation gives -7.32 eV/atom. Its space group is I-42d.

a = 6.9521 Å, b = 6.9521 Å, c = 5.6878 Å
α = 52.33°, β = 52.33°, γ = 90.00°
Element x y z (fractional)
Zn  0.2500  0.7500  0.5000
Zn  0.5000  0.5000  0.0000
Ir  0.1409  0.6250  0.2500
Ir  0.6091  0.1250  0.2500
Ir  0.8750  0.8591  0.7500
Ir  0.3750  0.3909  0.7500
Hf  0.7500  0.2500  0.5000
Hf  0.0000  0.0000  0.0000